[1]
# Pm4ThCu5, optimized geometry, DFT GGA-PBE
data_Pm4ThCu5
_cell_length_a 3.546
_cell_length_b 3.546
_cell_length_c 18.041
_cell_angle_alpha 90.00
_cell_angle_beta 90.00
_cell_angle_gamma 90.00
_symmetry_space_group_name_H-M 'P 1'
_symmetry_Int_Tables_number 1
loop_
_symmetry_equiv_pos_as_xyz
'x,y,z'
loop_
_atom_site_label
_atom_site_fract_x
_atom_site_fract_y
_atom_site_fract_z
_atom_site_occupancy
Pm1 0.000 0.000 0.400 1
Pm2 0.000 0.000 0.798 1
Pm3 0.000 0.000 0.600 1
Cu1 0.500 0.500 0.898 1
Pm4 0.000 0.000 0.202 1
Th1 0.000 0.000 0.000 1
Cu2 0.500 0.500 0.301 1
Cu3 0.500 0.500 0.500 1
Cu4 0.500 0.500 0.102 1
Cu5 0.500 0.500 0.699 1
# mass density: 8.3 Mg/m³
# formation enthalpy at 0 K: -0.14 eV/atom
# SG: P4/mmm
# density of states at the Fermi level: 8.047 states/eV/f.u.


[2]
# PmThCu, optimized geometry, DFT GGA-PBE
data_PmThCu
_cell_length_a 3.611
_cell_length_b 3.611
_cell_length_c 6.609
_cell_angle_alpha 105.85
_cell_angle_beta 105.85
_cell_angle_gamma 90.00
_symmetry_space_group_name_H-M 'P 1'
_symmetry_Int_Tables_number 1
loop_
_symmetry_equiv_pos_as_xyz
'x,y,z'
loop_
_atom_site_label
_atom_site_fract_x
_atom_site_fract_y
_atom_site_fract_z
_atom_site_occupancy
Th1 0.309 0.309 0.618 1
Cu1 0.672 0.672 0.344 1
Pm1 0.019 0.019 0.038 1
# mass density: 9.2 Mg/m³
# formation enthalpy at 0 K: -0.03 eV/atom
# SG: I4mm
# density of states at the Fermi level: 4.363 states/eV/f.u.
# offset from the most stable computed form: 0 meV per atom


[3]
# PmThCu, optimized geometry, DFT GGA-PBE
data_PmThCu
_cell_length_a 3.722
_cell_length_b 4.892
_cell_length_c 4.892
_cell_angle_alpha 120.00
_cell_angle_beta 90.00
_cell_angle_gamma 90.00
_symmetry_space_group_name_H-M 'P 1'
_symmetry_Int_Tables_number 1
loop_
_symmetry_equiv_pos_as_xyz
'x,y,z'
loop_
_atom_site_label
_atom_site_fract_x
_atom_site_fract_y
_atom_site_fract_z
_atom_site_occupancy
Pm1 0.034 0.000 0.000 1
Th1 0.619 0.667 0.333 1
Cu1 0.348 0.333 0.667 1
# mass density: 9.5 Mg/m³
# formation enthalpy at 0 K: 0.17 eV/atom
# SG: P3m1
# density of states at the Fermi level: 3.985 states/eV/f.u.
# offset from the most stable computed form: 205 meV per atom


[4]
# PmThTlCu, optimized geometry, DFT GGA-PBE
data_PmThTlCu
_cell_length_a 5.319
_cell_length_b 5.319
_cell_length_c 5.319
_cell_angle_alpha 60.00
_cell_angle_beta 60.00
_cell_angle_gamma 60.00
_symmetry_space_group_name_H-M 'P 1'
_symmetry_Int_Tables_number 1
loop_
_symmetry_equiv_pos_as_xyz
'x,y,z'
loop_
_atom_site_label
_atom_site_fract_x
_atom_site_fract_y
_atom_site_fract_z
_atom_site_occupancy
Cu1 0.500 0.500 0.500 1
Th1 0.250 0.250 0.250 1
Pm1 0.750 0.750 0.750 1
Tl1 0.000 0.000 0.000 1
# mass density: 10.1 Mg/m³
# formation enthalpy at 0 K: -0.08 eV/atom
# SG: F-43m
# density of states at the Fermi level: 5.240 states/eV/f.u.


[5]
# PmTiCu2, optimized geometry, DFT GGA-PBE
data_PmTiCu2
_cell_length_a 3.245
_cell_length_b 3.245
_cell_length_c 6.912
_cell_angle_alpha 90.00
_cell_angle_beta 90.00
_cell_angle_gamma 90.00
_symmetry_space_group_name_H-M 'P 1'
_symmetry_Int_Tables_number 1
loop_
_symmetry_equiv_pos_as_xyz
'x,y,z'
loop_
_atom_site_label
_atom_site_fract_x
_atom_site_fract_y
_atom_site_fract_z
_atom_site_occupancy
Cu1 0.000 0.000 0.808 1
Ti1 0.500 0.500 0.000 1
Pm1 0.500 0.500 0.500 1
Cu2 0.000 0.000 0.192 1
# mass density: 7.3 Mg/m³
# formation enthalpy at 0 K: -0.05 eV/atom
# SG: P4/mmm
# density of states at the Fermi level: 4.365 states/eV/f.u.
# offset from the most stable computed form: 0 meV per atom


[6]
# PmTiCu2, optimized geometry, DFT GGA-PBE
data_PmTiCu2
_cell_length_a 4.739
_cell_length_b 4.739
_cell_length_c 4.739
_cell_angle_alpha 60.00
_cell_angle_beta 60.00
_cell_angle_gamma 60.00
_symmetry_space_group_name_H-M 'P 1'
_symmetry_Int_Tables_number 1
loop_
_symmetry_equiv_pos_as_xyz
'x,y,z'
loop_
_atom_site_label
_atom_site_fract_x
_atom_site_fract_y
_atom_site_fract_z
_atom_site_occupancy
Cu1 0.750 0.750 0.750 1
Cu2 0.250 0.250 0.250 1
Pm1 0.000 0.000 0.000 1
Ti1 0.500 0.500 0.500 1
# mass density: 7.1 Mg/m³
# formation enthalpy at 0 K: 0.04 eV/atom
# SG: Fm-3m
# density of states at the Fermi level: 3.602 states/eV/f.u.
# offset from the most stable computed form: 92 meV per atom


[7]
# PmTiCu, optimized geometry, DFT GGA-PBE
data_PmTiCu
_cell_length_a 4.707
_cell_length_b 3.326
_cell_length_c 11.161
_cell_angle_alpha 90.00
_cell_angle_beta 90.00
_cell_angle_gamma 135.05
_symmetry_space_group_name_H-M 'P 1'
_symmetry_Int_Tables_number 1
loop_
_symmetry_equiv_pos_as_xyz
'x,y,z'
loop_
_atom_site_label
_atom_site_fract_x
_atom_site_fract_y
_atom_site_fract_z
_atom_site_occupancy
Pm1 0.194 0.389 0.824 1
Pm2 0.194 0.389 0.176 1
Ti1 0.694 0.389 0.378 1
Ti2 0.694 0.389 0.622 1
Cu1 0.694 0.389 0.000 1
Cu2 0.194 0.389 0.500 1
# mass density: 6.9 Mg/m³
# formation enthalpy at 0 K: 0.08 eV/atom
# SG: Cmmm
# density of states at the Fermi level: 3.729 states/eV/f.u.


[8]
# PmTiCu2, optimized geometry, DFT GGA-PBE
data_PmTiCu2
_cell_length_a 3.350
_cell_length_b 4.708
_cell_length_c 4.708
_cell_angle_alpha 90.00
_cell_angle_beta 90.00
_cell_angle_gamma 90.00
_symmetry_space_group_name_H-M 'P 1'
_symmetry_Int_Tables_number 1
loop_
_symmetry_equiv_pos_as_xyz
'x,y,z'
loop_
_atom_site_label
_atom_site_fract_x
_atom_site_fract_y
_atom_site_fract_z
_atom_site_occupancy
Ti1 0.500 0.500 0.500 1
Cu1 0.000 0.000 0.500 1
Pm1 0.500 0.000 0.000 1
Cu2 0.000 0.500 0.000 1
# mass density: 7.2 Mg/m³
# formation enthalpy at 0 K: 0.06 eV/atom
# SG: P4/mmm
# density of states at the Fermi level: 4.034 states/eV/f.u.
# offset from the most stable computed form: 106 meV per atom


[9]
# PmTiZnCu, optimized geometry, DFT GGA-PBE
data_PmTiZnCu
_cell_length_a 4.800
_cell_length_b 4.800
_cell_length_c 4.800
_cell_angle_alpha 60.00
_cell_angle_beta 60.00
_cell_angle_gamma 60.00
_symmetry_space_group_name_H-M 'P 1'
_symmetry_Int_Tables_number 1
loop_
_symmetry_equiv_pos_as_xyz
'x,y,z'
loop_
_atom_site_label
_atom_site_fract_x
_atom_site_fract_y
_atom_site_fract_z
_atom_site_occupancy
Ti1 0.000 0.000 0.000 1
Cu1 0.250 0.250 0.250 1
Zn1 0.750 0.750 0.750 1
Pm1 0.500 0.500 0.500 1
# mass density: 6.8 Mg/m³
# formation enthalpy at 0 K: -0.02 eV/atom
# SG: F-43m
# density of states at the Fermi level: 3.837 states/eV/f.u.


[10]
# Pm2TiZn12Cu3, optimized geometry, DFT GGA-PBE
data_Pm2TiZn12Cu3
_cell_length_a 8.387
_cell_length_b 8.387
_cell_length_c 8.387
_cell_angle_alpha 53.09
_cell_angle_beta 53.09
_cell_angle_gamma 53.09
_symmetry_space_group_name_H-M 'P 1'
_symmetry_Int_Tables_number 1
loop_
_symmetry_equiv_pos_as_xyz
'x,y,z'
loop_
_atom_site_label
_atom_site_fract_x
_atom_site_fract_y
_atom_site_fract_z
_atom_site_occupancy
Zn1 0.866 0.219 0.219 1
Zn2 0.834 0.467 0.834 1
Zn3 0.834 0.834 0.467 1
Zn4 0.166 0.166 0.533 1
Zn5 0.219 0.866 0.219 1
Zn6 0.533 0.166 0.166 1
Pm1 0.589 0.589 0.589 1
Zn7 0.134 0.781 0.781 1
Zn8 0.219 0.219 0.866 1
Zn9 0.467 0.834 0.834 1
Ti1 0.000 0.000 0.000 1
Cu1 0.000 0.500 0.000 1
Cu2 0.500 0.000 0.000 1
Zn10 0.781 0.781 0.134 1
Pm2 0.411 0.411 0.411 1
Zn11 0.781 0.134 0.781 1
Zn12 0.166 0.533 0.166 1
Cu3 0.000 0.000 0.500 1
# mass density: 6.2 Mg/m³
# formation enthalpy at 0 K: 0.16 eV/atom
# SG: R-3m
# density of states at the Fermi level: 9.167 states/eV/f.u.


[11]
# Pm4Tl3Cu, optimized geometry, DFT GGA-PBE
data_Pm4Tl3Cu
_cell_length_a 3.930
_cell_length_b 4.896
_cell_length_c 11.993
_cell_angle_alpha 90.00
_cell_angle_beta 90.00
_cell_angle_gamma 90.00
_symmetry_space_group_name_H-M 'P 1'
_symmetry_Int_Tables_number 1
loop_
_symmetry_equiv_pos_as_xyz
'x,y,z'
loop_
_atom_site_label
_atom_site_fract_x
_atom_site_fract_y
_atom_site_fract_z
_atom_site_occupancy
Pm1 0.500 0.000 0.651 1
Tl1 0.500 0.000 0.923 1
Cu1 0.500 0.500 0.076 1
Tl2 0.000 0.000 0.414 1
Pm2 0.000 0.000 0.143 1
Pm3 0.000 0.500 0.872 1
Tl3 0.000 0.500 0.587 1
Pm4 0.500 0.500 0.334 1
# mass density: 9.0 Mg/m³
# formation enthalpy at 0 K: -0.26 eV/atom
# SG: Pmm2
# density of states at the Fermi level: 8.076 states/eV/f.u.
# offset from the most stable computed form: 65 meV per atom


[12]
# Pm4TlCu3, optimized geometry, DFT GGA-PBE
data_Pm4TlCu3
_cell_length_a 5.173
_cell_length_b 5.173
_cell_length_c 8.941
_cell_angle_alpha 73.18
_cell_angle_beta 73.18
_cell_angle_gamma 60.00
_symmetry_space_group_name_H-M 'P 1'
_symmetry_Int_Tables_number 1
loop_
_symmetry_equiv_pos_as_xyz
'x,y,z'
loop_
_atom_site_label
_atom_site_fract_x
_atom_site_fract_y
_atom_site_fract_z
_atom_site_occupancy
Pm1 0.868 0.868 0.395 1
Tl1 0.000 0.000 0.000 1
Pm2 0.132 0.132 0.605 1
Cu1 0.500 0.500 0.500 1
Cu2 0.255 0.255 0.236 1
Cu3 0.745 0.745 0.764 1
Pm3 0.382 0.382 0.853 1
Pm4 0.618 0.618 0.147 1
# mass density: 8.3 Mg/m³
# formation enthalpy at 0 K: -0.19 eV/atom
# SG: R-3m
# density of states at the Fermi level: 6.287 states/eV/f.u.
# offset from the most stable computed form: 0 meV per atom


[13]
# Pm3TlCu8, optimized geometry, DFT GGA-PBE
data_Pm3TlCu8
_cell_length_a 5.282
_cell_length_b 5.282
_cell_length_c 9.184
_cell_angle_alpha 73.29
_cell_angle_beta 73.29
_cell_angle_gamma 60.00
_symmetry_space_group_name_H-M 'P 1'
_symmetry_Int_Tables_number 1
loop_
_symmetry_equiv_pos_as_xyz
'x,y,z'
loop_
_atom_site_label
_atom_site_fract_x
_atom_site_fract_y
_atom_site_fract_z
_atom_site_occupancy
Cu1 0.189 0.189 0.434 1
Pm1 0.502 0.502 0.493 1
Cu2 0.435 0.945 0.185 1
Cu3 0.938 0.436 0.689 1
Cu4 0.938 0.938 0.689 1
Cu5 0.436 0.938 0.689 1
Tl1 0.872 0.872 0.384 1
Cu6 0.688 0.688 0.937 1
Cu7 0.435 0.435 0.185 1
Pm2 0.996 0.996 0.012 1
Pm3 0.378 0.378 0.867 1
Cu8 0.945 0.435 0.185 1
# mass density: 9.1 Mg/m³
# formation enthalpy at 0 K: -0.13 eV/atom
# SG: R3m
# density of states at the Fermi level: 6.495 states/eV/f.u.